An optimized crystal structure of K2LiNi, computed with PBE-GGA.

Geometry as extended XYZ:
```
4
Lattice="3.628 0.000 0.000 0.000 3.617 0.000 0.000 0.000 9.739" Properties=species:S:1:pos:R:3 pbc="T T T"
Li 0.000 0.000 5.847
K 0.000 0.000 8.847
K 1.814 1.809 3.231
Ni 1.814 1.809 6.423
```

- Calculated formation energy: 0.406 eV/atom
- Polymorph energy (0 for the lowest one): 14 meV/atom
- V: 127.8 Å³/cell